Below is a geometry-optimized SrNbSCl2 structure, with properties calculated at the PBE-GGA level.

abc: 5.3250 5.3250 5.8264
angles: 90.00 90.00 90.00
Each line ends with the local moment (μB).
Positions (direct):
1 S 0.0000 0.0000 0.5000  -0.22
2 Sr 0.0000 0.0000 0.0000  0.00
3 Cl 0.0000 0.5000 0.0000  0.00
4 Cl 0.5000 0.0000 0.0000  0.00
5 Nb 0.5000 0.5000 0.5000  2.77

## Properties
Density: 2.8 g/cm³
E above lowest polymorph: 915.3 meV per atom
Fermi-level density of states: 3.3 states/eV per cell
Symmetry: P4/mmm, No. 123
V: 165 Å³ per cell
Formation energy (no corrections): -195 meV per atom